10
Lattice="4.057 0.000 0.000 0.000 4.057 0.000 0.000 0.000 13.437" Properties=species:S:1:pos:R:3 comment="Zn2AgSe2 | Alexandria | PBE-GGA | optimized geometry" e_form_raw_mev_per_atom=-76 mass_density_g_cm3=6.0 space_group="I4/mmm (139)" vol_a3_per_atom=22.111 pbc="T T T"
Zn 0.000 2.028 3.359
Zn 0.000 2.028 10.078
Zn 2.028 0.000 3.359
Zn 2.028 0.000 10.078
Ag 0.000 0.000 0.000
Ag 2.028 2.028 6.718
Se 0.000 0.000 4.937
Se 0.000 0.000 8.499
Se 2.028 2.028 1.781
Se 2.028 2.028 11.656

=====

4
Lattice="2.918 0.000 0.000 0.000 4.601 0.000 -1.303 0.000 5.744" Properties=species:S:1:pos:R:3 comment="ZnAg2Se | Alexandria | PBE-GGA | optimized geometry" de_polymorph_mev_per_atom=64.8 e_form_raw_mev_per_atom=56 mass_density_g_cm3=7.8 space_group="Pm (6)" vol_a3_per_atom=19.281 pbc="T T T"
Zn 0.000 0.000 0.000
Ag 0.109 0.000 3.356
Ag 1.566 2.301 4.310
Se 0.038 2.301 1.501

=====

10
Lattice="7.847 0.000 0.000 0.000 7.847 0.000 0.000 0.000 2.947" Properties=species:S:1:pos:R:3 comment="Zn2Ag2Se | Alexandria | PBE-GGA | optimized geometry" de_polymorph_mev_per_atom=40.3 e_form_raw_mev_per_atom=107 mass_density_g_cm3=7.8 space_group="P4/mbm (127)" vol_a3_per_atom=18.147 pbc="T T T"
Zn 1.327 2.597 0.000
Zn 2.597 6.520 0.000
Zn 5.251 1.327 0.000
Zn 6.520 5.251 0.000
Ag 1.021 4.945 1.474
Ag 2.902 1.021 1.474
Ag 4.945 6.826 1.474
Ag 6.826 2.902 1.474
Se 0.000 0.000 1.474
Se 3.924 3.924 1.474

=====

3
Lattice="3.867 0.000 0.000 -1.934 3.349 0.000 0.000 0.000 4.703" Properties=species:S:1:pos:R:3 comment="ZnAgSe | Alexandria | PBE-GGA | optimized geometry" de_polymorph_mev_per_atom=0.0 e_form_raw_mev_per_atom=-46 mass_density_g_cm3=6.9 space_group="P3m1 (156)" vol_a3_per_atom=20.304 pbc="T T T"
Zn 0.000 0.000 0.000
Ag 1.934 1.116 1.678
Se 0.000 2.233 3.465